(1)
! MgZnI2N | the Alexandria database | PBE-GGA | relaxed; values from VASP
! M_tot: 1.96 μB per cell
! E above lowest polymorph: 0 meV per atom
! Formation energy (no corrections): 358 meV per atom
&SYSTEM
  ibrav = 0, nat = 5, ntyp = 4
/
ATOMIC_SPECIES
Mg 24.30 Mg.upf
Zn 65.41 Zn.upf
I 126.90 I.upf
N 14.01 N.upf
CELL_PARAMETERS angstrom
5.8592 0.0000 0.0000
0.0000 5.8592 0.0000
0.0000 0.0000 4.1078
ATOMIC_POSITIONS angstrom
Mg 0.0000 0.0000 0.0000
Zn 2.9296 2.9296 2.0539
I 0.0000 2.9296 0.0000
I 2.9296 0.0000 0.0000
N 0.0000 0.0000 2.0539



(2)
! MgZrIN2 | the Alexandria database | PBE-GGA | relaxed; values from VASP
! M_tot: 0.73 μB per cell
! E above lowest polymorph: 0 meV per atom
! Formation energy (no corrections): 182 meV per atom
&SYSTEM
  ibrav = 0, nat = 5, ntyp = 4
/
ATOMIC_SPECIES
Mg 24.30 Mg.upf
Zr 91.22 Zr.upf
I 126.90 I.upf
N 14.01 N.upf
CELL_PARAMETERS angstrom
4.2340 0.0000 0.0000
0.0000 4.2340 0.0000
0.0000 0.0000 5.9828
ATOMIC_POSITIONS angstrom
Mg 0.0000 0.0000 0.0000
Zr 2.1170 2.1170 2.9914
I 2.1170 2.1170 0.0000
N 0.0000 2.1170 2.9914
N 2.1170 0.0000 2.9914